A plane-wave DFT calculation with GGA-PBE was carried out for an optimized crystal structure of BeSeCl2.

Results
- total magnetization (μB per formula unit) = 0.485
- formation energy from raw total energies (eV per formula unit) = -1.85
- Fermi-level density of states (states/eV/atom) = 0.488
- energy above the lowest structure with this stoichiometry (meV per atom) = 135

The structure in CIF format:
```
data_BeSeCl2
_chemical_formula_sum 'Be2 Se2 Cl4'
_space_group_name_H-M_alt 'C m m m'
_space_group_IT_number 65
_space_group_name_Hall '-C 2 2'
_cell_length_a 2.9459
_cell_length_b 6.3104
_cell_length_c 11.6431
_cell_angle_alpha 90.00
_cell_angle_beta 90.00
_cell_angle_gamma 90.00
loop_
_atom_site_label
_atom_site_type_symbol
_atom_site_fract_x
_atom_site_fract_y
_atom_site_fract_z
Be1 Be 0.0000 0.0000 0.0000
Se1 Se 0.0000 0.0000 0.5000
Cl1 Cl 0.0000 0.5000 0.1255
```